Record 1
Compound: Tb2B10Os
Source: Alexandria via LeMat-Bulk
Functional: GGA-PBE
Structure: relaxed

Values from the calculation:
The value obtained for the total magnetization is 0.00 μB/f.u. As for the formation energy: -478.4 meV per atom.

extended XYZ file:
```
26
Lattice="5.722 0.000 0.000 0.000 11.373 0.000 0.000 0.000 4.186" Properties=species:S:1:pos:R:3 pbc="T T T"
Tb 1.285 1.474 0.000
Tb 1.576 7.161 0.000
Tb 4.147 4.212 0.000
Tb 4.437 9.898 0.000
B 0.332 3.495 2.093
B 0.686 10.901 2.093
B 0.765 9.129 2.093
B 1.279 4.332 0.836
B 1.279 4.332 3.350
B 1.582 10.019 0.836
B 1.582 10.019 3.350
B 2.097 3.442 2.093
B 2.175 5.214 2.093
B 2.529 9.181 2.093
B 3.193 2.191 2.093
B 3.547 6.159 2.093
B 3.626 7.931 2.093
B 4.140 1.354 0.836
B 4.140 1.354 3.350
B 4.443 7.040 0.836
B 4.443 7.040 3.350
B 4.958 2.244 2.093
B 5.036 0.472 2.093
B 5.390 7.878 2.093
Os 0.000 5.686 2.093
Os 2.861 0.000 2.093
```


Record 2
Compound: Tb3B8Os3
Source: Alexandria via LeMat-Bulk
Functional: GGA-PBE
Structure: relaxed

Values from the calculation:
The value obtained for the total magnetization is 0.00 μB/f.u. As for the formation energy: -109.7 meV per atom.

extended XYZ file:
```
14
Lattice="-1.678 4.673 5.377 1.678 -4.673 5.377 1.678 4.673 -5.377" Properties=species:S:1:pos:R:3 pbc="T T T"
Tb 0.000 0.000 0.000
Tb 0.000 0.000 3.110
Tb 0.000 0.000 7.644
B 1.678 1.920 -2.095
B 1.678 -1.913 3.877
B 1.678 1.920 2.095
B 0.000 2.759 1.500
B 1.678 1.913 3.877
B 0.000 2.752 3.282
B 0.000 6.586 1.500
B 0.000 2.752 7.471
Os 1.678 2.457 0.000
Os 0.000 4.673 0.000
Os 0.000 2.216 5.377
```


Record 3
Compound: TbB4Os4
Source: Alexandria via LeMat-Bulk
Functional: GGA-PBE
Structure: relaxed

Values from the calculation:
The value obtained for the total magnetization is 0.00 μB/f.u. As for the formation energy: -384.1 meV per atom.

extended XYZ file:
```
18
Lattice="7.562 0.000 0.000 0.000 7.562 0.000 0.000 0.000 4.018" Properties=species:S:1:pos:R:3 pbc="T T T"
Tb 1.890 1.890 1.005
Tb 5.671 5.671 3.014
B 0.235 6.910 0.550
B 0.651 4.016 2.559
B 3.129 7.326 2.559
B 3.545 4.432 0.550
B 4.016 3.129 3.468
B 4.432 0.235 1.459
B 6.910 3.545 1.459
B 7.326 0.651 3.468
Os 0.785 4.855 0.542
Os 1.074 6.777 2.551
Os 2.706 4.565 2.551
Os 2.996 6.487 0.542
Os 4.565 1.074 3.476
Os 4.855 2.996 1.467
Os 6.487 0.785 1.467
Os 6.777 2.706 3.476
```


no.,volume (A^3/atom)
1,10.5
2,12.0
3,12.8